Compound: K2Sn2Se5
Source: Alexandria
Functional: PBE
Structure: relaxed Values from VASP.

Output
**Calculated volume**: 34.24 Å³/atom
**Electronic total energy**: -3.6268 eV per atom

```
&SYSTEM
  ibrav = 0, nat = 9, ntyp = 3
/
ATOMIC_SPECIES
K 39.10 K.upf
Sn 118.71 Sn.upf
Se 78.96 Se.upf
ATOMIC_POSITIONS crystal
K 0.101 0.101 0.334
K 0.899 0.899 0.666
Sn 0.340 0.340 0.128
Sn 0.660 0.660 0.872
Se 0.146 0.146 0.958
Se 0.358 0.358 0.432
Se 0.500 0.500 0.000
Se 0.642 0.642 0.568
Se 0.854 0.854 0.042
CELL_PARAMETERS angstrom
7.030 -2.723 0.000
7.030 2.723 0.000
-2.417 0.000 8.049
```

---

Compound: KSnSe3
Source: Alexandria
Functional: PBE
Structure: relaxed Values from VASP.

Output
**Calculated volume**: 37.43 Å³/atom
**Electronic total energy**: -3.6632 eV per atom

```
&SYSTEM
  ibrav = 0, nat = 10, ntyp = 3
/
ATOMIC_SPECIES
K 39.10 K.upf
Sn 118.71 Sn.upf
Se 78.96 Se.upf
ATOMIC_POSITIONS crystal
K 0.168 0.832 0.500
K 0.832 0.168 0.000
Sn 0.429 0.571 0.398
Sn 0.571 0.429 0.898
Se 0.051 0.375 0.505
Se 0.375 0.051 0.005
Se 0.430 0.570 0.003
Se 0.570 0.430 0.503
Se 0.625 0.949 0.505
Se 0.949 0.625 0.005
CELL_PARAMETERS angstrom
3.213 -8.787 0.000
3.213 8.787 0.000
0.000 0.000 6.629
```

---

Compound: KSn7Se12
Source: Alexandria
Functional: PBE
Structure: relaxed Values from VASP.

Output
**Calculated volume**: 28.73 Å³/atom
**Electronic total energy**: -3.8167 eV per atom

```
&SYSTEM
  ibrav = 0, nat = 20, ntyp = 3
/
ATOMIC_SPECIES
K 39.10 K.upf
Sn 118.71 Sn.upf
Se 78.96 Se.upf
ATOMIC_POSITIONS crystal
K 0.000 0.000 0.000
Sn 0.000 0.000 0.500
Sn 0.000 0.500 0.000
Sn 0.000 0.500 0.500
Sn 0.500 0.000 0.000
Sn 0.500 0.000 0.500
Sn 0.500 0.500 0.000
Sn 0.500 0.500 0.500
Se 0.106 0.322 0.784
Se 0.216 0.538 0.322
Se 0.216 0.894 0.678
Se 0.322 0.216 0.538
Se 0.322 0.784 0.106
Se 0.462 0.678 0.784
Se 0.538 0.322 0.216
Se 0.678 0.216 0.894
Se 0.678 0.784 0.462
Se 0.784 0.106 0.322
Se 0.784 0.462 0.678
Se 0.894 0.678 0.216
CELL_PARAMETERS angstrom
-5.237 5.237 5.237
5.237 -5.237 5.237
5.237 5.237 -5.237
```

---

Compound: KSn4Se2
Source: Alexandria
Functional: PBE
Structure: relaxed Values from VASP.

Output
**Calculated volume**: 38.62 Å³/atom
**Electronic total energy**: -2.9354 eV per atom

```
&SYSTEM
  ibrav = 0, nat = 7, ntyp = 3
/
ATOMIC_SPECIES
K 39.10 K.upf
Sn 118.71 Sn.upf
Se 78.96 Se.upf
ATOMIC_POSITIONS crystal
K 0.000 0.000 0.000
Sn 0.000 0.500 0.500
Sn 0.240 0.240 0.000
Sn 0.500 0.000 0.500
Sn 0.760 0.760 0.000
Se 0.405 0.405 0.000
Se 0.595 0.595 0.000
CELL_PARAMETERS angstrom
-2.915 2.915 7.957
2.915 -2.915 7.957
2.915 2.915 -7.957
```

---

Compound: KSn2Se2
Source: Alexandria
Functional: PBE
Structure: relaxed Values from VASP.

Output
**Relative energy among the computed polymorphs**: 149.3 meV/atom
**Calculated volume**: 29.99 Å³/atom
**Electronic total energy**: -3.5829 eV per atom

```
&SYSTEM
  ibrav = 0, nat = 10, ntyp = 3
/
ATOMIC_SPECIES
K 39.10 K.upf
Sn 118.71 Sn.upf
Se 78.96 Se.upf
ATOMIC_POSITIONS crystal
K 0.000 0.000 0.000
K 0.500 0.500 0.000
Sn 0.123 0.377 0.000
Sn 0.377 0.877 0.000
Sn 0.623 0.123 0.000
Sn 0.877 0.623 0.000
Se 0.214 0.714 0.500
Se 0.286 0.214 0.500
Se 0.714 0.786 0.500
Se 0.786 0.286 0.500
CELL_PARAMETERS angstrom
8.873 0.000 0.000
0.000 8.873 0.000
0.000 0.000 3.809
```

---

Compound: KSnSe3
Source: Alexandria
Functional: PBE
Structure: relaxed Values from VASP.

Output
**Calculated volume**: 35.87 Å³/atom
**Electronic total energy**: -2.3990 eV per atom

```
&SYSTEM
  ibrav = 0, nat = 5, ntyp = 3
/
ATOMIC_SPECIES
K 39.10 K.upf
Sn 118.71 Sn.upf
Se 78.96 Se.upf
ATOMIC_POSITIONS crystal
K 0.000 0.000 0.000
Sn 0.500 0.500 0.500
Se 0.000 0.000 0.500
Se 0.000 0.500 0.000
Se 0.500 0.000 0.000
CELL_PARAMETERS angstrom
5.640 0.000 0.000
0.000 5.640 0.000
0.000 0.000 5.640
```

---

Compound: K5Sn2Se5
Source: Alexandria
Functional: PBE
Structure: relaxed Values from VASP.

Output
**Calculated volume**: 34.88 Å³/atom
**Electronic total energy**: -3.4900 eV per atom

```
&SYSTEM
  ibrav = 0, nat = 12, ntyp = 3
/
ATOMIC_SPECIES
K 39.10 K.upf
Sn 118.71 Sn.upf
Se 78.96 Se.upf
ATOMIC_POSITIONS crystal
K 0.000 0.000 0.000
K 0.159 0.159 0.556
K 0.248 0.248 0.860
K 0.752 0.752 0.140
K 0.841 0.841 0.444
Sn 0.449 0.449 0.702
Sn 0.551 0.551 0.298
Se 0.153 0.153 0.287
Se 0.398 0.398 0.117
Se 0.500 0.500 0.500
Se 0.602 0.602 0.883
Se 0.847 0.847 0.713
CELL_PARAMETERS angstrom
7.332 -2.403 0.000
7.332 2.403 0.000
-4.148 0.000 11.881
```

---

Compound: K8SnSe6
Source: Alexandria
Functional: PBE
Structure: relaxed Values from VASP.

Output
**Calculated volume**: 37.14 Å³/atom
**Electronic total energy**: -3.2656 eV per atom

```
&SYSTEM
  ibrav = 0, nat = 30, ntyp = 3
/
ATOMIC_SPECIES
K 39.10 K.upf
Sn 118.71 Sn.upf
Se 78.96 Se.upf
ATOMIC_POSITIONS crystal
K 0.000 0.144 0.000
K 0.000 0.183 0.511
K 0.173 0.513 0.152
K 0.181 0.680 0.854
K 0.195 0.936 0.234
K 0.305 0.064 0.734
K 0.319 0.320 0.354
K 0.327 0.487 0.652
K 0.500 0.817 0.011
K 0.500 0.856 0.500
K 0.673 0.487 0.652
K 0.681 0.320 0.354
K 0.695 0.064 0.734
K 0.805 0.936 0.234
K 0.819 0.680 0.854
K 0.827 0.513 0.152
Sn 0.000 0.686 0.545
Sn 0.500 0.314 0.045
Se 0.000 0.230 0.261
Se 0.000 0.462 0.678
Se 0.000 0.786 0.053
Se 0.000 0.909 0.678
Se 0.213 0.676 0.430
Se 0.287 0.324 0.930
Se 0.500 0.091 0.178
Se 0.500 0.214 0.553
Se 0.500 0.538 0.178
Se 0.500 0.770 0.761
Se 0.713 0.324 0.930
Se 0.787 0.676 0.430
CELL_PARAMETERS angstrom
9.964 0.000 0.000
0.000 8.916 0.000
0.000 0.000 12.541
```

---

Compound: K5Sn2Se6
Source: Alexandria
Functional: PBE
Structure: relaxed Values from VASP.

Output
**Calculated volume**: 38.48 Å³/atom
**Electronic total energy**: -3.5510 eV per atom

```
&SYSTEM
  ibrav = 0, nat = 26, ntyp = 3
/
ATOMIC_SPECIES
K 39.10 K.upf
Sn 118.71 Sn.upf
Se 78.96 Se.upf
ATOMIC_POSITIONS crystal
K 0.189 0.490 0.265
K 0.190 0.810 0.750
K 0.207 0.745 0.998
K 0.255 0.793 0.502
K 0.490 0.189 0.765
K 0.510 0.811 0.235
K 0.745 0.207 0.498
K 0.793 0.255 0.002
K 0.810 0.190 0.250
K 0.811 0.510 0.735
Sn 0.171 0.381 0.572
Sn 0.381 0.171 0.072
Sn 0.619 0.829 0.928
Sn 0.829 0.619 0.428
Se 0.117 0.289 0.412
Se 0.130 0.150 0.645
Se 0.150 0.130 0.145
Se 0.289 0.117 0.912
Se 0.450 0.452 0.127
Se 0.452 0.450 0.627
Se 0.548 0.550 0.373
Se 0.550 0.548 0.873
Se 0.711 0.883 0.088
Se 0.850 0.870 0.855
Se 0.870 0.850 0.355
Se 0.883 0.711 0.588
CELL_PARAMETERS angstrom
6.829 -4.334 0.000
6.829 4.334 0.000
-3.481 0.000 16.898
```

---

Compound: K5SnSe4
Source: Alexandria
Functional: PBE
Structure: relaxed Values from VASP.

Output
**Calculated volume**: 40.66 Å³/atom
**Electronic total energy**: -3.3131 eV per atom

```
&SYSTEM
  ibrav = 0, nat = 20, ntyp = 3
/
ATOMIC_SPECIES
K 39.10 K.upf
Sn 118.71 Sn.upf
Se 78.96 Se.upf
ATOMIC_POSITIONS crystal
K 0.008 0.051 0.241
K 0.008 0.449 0.241
K 0.250 0.750 0.330
K 0.492 0.051 0.241
K 0.492 0.449 0.241
K 0.508 0.551 0.759
K 0.508 0.949 0.759
K 0.750 0.250 0.670
K 0.992 0.551 0.759
K 0.992 0.949 0.759
Sn 0.250 0.250 0.720
Sn 0.750 0.750 0.280
Se 0.019 0.250 0.909
Se 0.250 0.029 0.526
Se 0.250 0.471 0.526
Se 0.481 0.250 0.909
Se 0.519 0.750 0.091
Se 0.750 0.529 0.474
Se 0.750 0.971 0.474
Se 0.981 0.750 0.091
CELL_PARAMETERS angstrom
10.011 0.000 0.000
0.000 10.396 0.000
0.000 0.000 7.813
```

---

Compound: KSnSe3
Source: Alexandria
Functional: PBE
Structure: relaxed Values from VASP.

Output
**Calculated volume**: 33.20 Å³/atom
**Electronic total energy**: -3.6276 eV per atom

```
&SYSTEM
  ibrav = 0, nat = 20, ntyp = 3
/
ATOMIC_SPECIES
K 39.10 K.upf
Sn 118.71 Sn.upf
Se 78.96 Se.upf
ATOMIC_POSITIONS crystal
K 0.105 0.343 0.260
K 0.343 0.105 0.760
K 0.657 0.895 0.240
K 0.895 0.657 0.740
Sn 0.264 0.736 0.250
Sn 0.424 0.576 0.750
Sn 0.576 0.424 0.250
Sn 0.736 0.264 0.750
Se 0.001 0.296 0.785
Se 0.166 0.695 0.564
Se 0.296 0.001 0.285
Se 0.305 0.834 0.936
Se 0.320 0.464 0.042
Se 0.464 0.320 0.542
Se 0.536 0.680 0.458
Se 0.680 0.536 0.958
Se 0.695 0.166 0.064
Se 0.704 0.999 0.715
Se 0.834 0.305 0.436
Se 0.999 0.704 0.215
CELL_PARAMETERS angstrom
7.504 -6.271 0.000
7.504 6.271 0.000
-1.800 0.000 7.056
```

---

Compound: K2SnSe2
Source: Alexandria
Functional: PBE
Structure: relaxed Values from VASP.

Output
**Relative energy among the computed polymorphs**: 198.1 meV/atom
**Calculated volume**: 30.82 Å³/atom
**Electronic total energy**: -3.3386 eV per atom

```
&SYSTEM
  ibrav = 0, nat = 10, ntyp = 3
/
ATOMIC_SPECIES
K 39.10 K.upf
Sn 118.71 Sn.upf
Se 78.96 Se.upf
ATOMIC_POSITIONS crystal
K 0.135 0.365 0.000
K 0.365 0.865 0.000
K 0.635 0.135 0.000
K 0.865 0.635 0.000
Sn 0.000 0.000 0.500
Sn 0.500 0.500 0.500
Se 0.179 0.679 0.500
Se 0.321 0.179 0.500
Se 0.679 0.821 0.500
Se 0.821 0.321 0.500
CELL_PARAMETERS angstrom
8.124 0.000 0.000
0.000 8.124 0.000
0.000 0.000 4.669
```